First-principles (GGA-PBE) data for crystalline Mg6Cd3Au at its relaxed geometry, as listed in the Alexandria database.

Properties
Calculated formation energy ... -0.19 eV/atom
E_tot ... -35.1 eV/cell
SG ... P2_1/m, No. 11
Crystal system ... monoclinic
M_tot ... 0.00 μB per atom

Cell: 4.6498 8.9473 12.4065 Å, 125.70 90.00 90.00°
Atoms (fractional coordinates):
Mg (0.2500, 0.5426, 0.6672)
Mg (0.2500, 0.7211, 0.5026)
Mg (0.7500, 0.2789, 0.4974)
Mg (0.7500, 0.0477, 0.1993)
Mg (0.2500, 0.3575, 0.9043)
Mg (0.2500, 0.9473, 0.3028)
Mg (0.7500, 0.8408, 0.8956)
Mg (0.7500, 0.6425, 0.0957)
Mg (0.7500, 0.4574, 0.3328)
Mg (0.7500, 0.0527, 0.6972)
Mg (0.2500, 0.1592, 0.1044)
Mg (0.2500, 0.9523, 0.8007)
Cd (0.7500, 0.4483, 0.7918)
Cd (0.2500, 0.5517, 0.2082)
Cd (0.7500, 0.2432, 0.0017)
Cd (0.7500, 0.8514, 0.4000)
Cd (0.2500, 0.7568, 0.9983)
Cd (0.2500, 0.1486, 0.6000)
Au (0.7500, 0.6985, 0.6295)
Au (0.2500, 0.3015, 0.3705)

=====

First-principles (GGA-PBE) data for crystalline DyTl2InI6 at its relaxed geometry, as listed in the Alexandria database.

Properties
E_tot ... -30.5 eV/cell
SG ... P1, No. 1
Crystal system ... triclinic
M_tot ... 0.00 μB per atom

Cell: 8.6028 8.6032 8.9643 Å, 61.28 61.27 59.92°
Atoms (fractional coordinates):
I (0.1155, 0.4325, 0.7730)
I (0.4323, 0.6792, 0.7724)
I (0.6798, 0.1150, 0.7731)
I (0.5634, 0.2069, 0.2488)
I (0.2069, 0.9806, 0.2487)
I (0.9804, 0.5643, 0.2484)
Dy (0.3254, 0.3253, 0.0238)
Tl (0.0148, 0.0150, 0.9562)
Tl (0.5251, 0.5244, 0.4258)
In (0.8181, 0.8184, 0.5451)

=====

First-principles (GGA-PBE) data for crystalline ScNi3As at its relaxed geometry, as listed in the Alexandria database.

Properties
Calculated formation energy ... 0.99 eV/atom
E_tot ... -23.4 eV/cell
SG ... Pm-3m, No. 221
Energy above the lowest structure with this stoichiometry ... 1.0524 eV/atom
Crystal system ... cubic
M_tot ... 0.00 μB per atom

Cell: 4.4460 4.4460 4.4460 Å, 90.00 90.00 90.00°
Atoms (fractional coordinates):
Sc (0.0000, 0.0000, 0.0000)
Ni (0.5000, 0.0000, 0.0000)
Ni (0.0000, 0.0000, 0.5000)
Ni (0.0000, 0.5000, 0.0000)
As (0.5000, 0.5000, 0.5000)

=====

First-principles (GGA-PBE) data for crystalline Ti2TlSi at its relaxed geometry, as listed in the Alexandria database.

Properties
E_tot ... -46.4 eV/cell
SG ... I-42d, No. 122
Crystal system ... tetragonal
M_tot ... 0.00 μB per atom

Cell: 7.2578 7.2578 5.8840 Å, 51.92 51.92 90.00°
Atoms (fractional coordinates):
Tl (0.0000, 0.0000, 0.0000)
Tl (0.7500, 0.2500, 0.5000)
Si (0.2500, 0.7500, 0.5000)
Si (0.5000, 0.5000, 0.0000)
Ti (0.6002, 0.1250, 0.2500)
Ti (0.3750, 0.3998, 0.7500)
Ti (0.8750, 0.8502, 0.7500)
Ti (0.1498, 0.6250, 0.2500)

=====

First-principles (GGA-PBE) data for crystalline RbIrOs at its relaxed geometry, as listed in the Alexandria database.

Properties
Calculated formation energy ... 0.57 eV/atom
E_tot ... -77.3 eV/cell
SG ... Cmcm, No. 63
Energy above the lowest structure with this stoichiometry ... 0.0357 eV/atom
Crystal system ... orthorhombic
M_tot ... 0.00 μB per atom

Cell: 12.7216 5.1400 4.4696 Å, 90.00 90.00 90.00°
Atoms (fractional coordinates):
Ir (0.4745, 0.7500, 0.0000)
Ir (0.0255, 0.2500, 0.5000)
Ir (0.9745, 0.7500, 0.5000)
Ir (0.5255, 0.2500, 0.0000)
Rb (0.7709, 0.2500, 0.4992)
Rb (0.2291, 0.7500, 0.5008)
Rb (0.7291, 0.7500, 0.9992)
Rb (0.2709, 0.2500, 0.0008)
Os (0.0000, 0.5000, 0.0000)
Os (0.5000, 0.0000, 0.5000)
Os (0.0000, 0.0000, 0.0000)
Os (0.5000, 0.5000, 0.5000)

=====

First-principles (GGA-PBE) data for crystalline SrRe2PF at its relaxed geometry, as listed in the Alexandria database.

Properties
E_tot ... -29.5 eV/cell
SG ... P4/mmm, No. 123
Energy above the lowest structure with this stoichiometry ... 0.0000 eV/atom
Crystal system ... tetragonal
M_tot ... 0.00 μB per atom

Cell: 4.2137 4.9605 4.2137 Å, 90.00 90.00 90.00°
Atoms (fractional coordinates):
Re (0.5000, 0.0000, 0.0000)
Re (0.0000, 0.0000, 0.5000)
F (0.0000, 0.0000, 0.0000)
Sr (0.0000, 0.5000, 0.0000)
P (0.5000, 0.5000, 0.5000)